A relaxed CsMn2Se2O6 crystal, computed with PBE with a Hubbard U.

Summary:
* volume: 18.7 A^3/atom
* E: -5.85 eV/atom

a b c (Å): 5.929 5.993 6.992
angles (deg): 105.75 113.59 101.48
Space group P-1 (No. 2)
Symmetry-distinct sites (fractional):
Cs 0.000 0.000 0.000 x1
Mn 0.400 0.746 0.452 x2
Se 0.337 0.599 0.866 x2
O 0.031 0.395 0.764 x2
O 0.422 0.522 0.646 x2
O 0.483 0.940 0.294 x2